1.
Below is an optimized crystal structure of Tl2BiPd2, with properties calculated at the PBE level.

Energy   -37.8 eV for the cell shown
Space group   P4/mbm (127)
Relative energy among the computed polymorphs   0.63 eV/f.u.
ΔH_f (0 K)   0.0159 eV per atom

a b c (Å): 8.4084 8.4084 3.1763
angles (deg): 90.00 90.00 90.00
Last column: nearest neighbours and their distance in Å.
Fractional coordinates of all 10 atoms:
Tl: 0.1361 0.3639 0.0000  6 Pd 2.90-2.96, 3 Tl 3.18-3.24
Tl: 0.3639 0.8639 0.0000  6 Pd 2.90-2.96, 3 Tl 3.18-3.24
Tl: 0.6361 0.1361 0.0000  6 Pd 2.90-2.96, 3 Tl 3.18-3.24
Tl: 0.8639 0.6361 0.0000  6 Pd 2.90-2.96, 3 Tl 3.18-3.24
Bi: 0.0000 0.0000 0.0000  2 Bi 3.18, 4 Tl 3.27, 8 Pd 3.54
Bi: 0.5000 0.5000 0.0000  2 Bi 3.18, 4 Tl 3.27, 8 Pd 3.54
Pd: 0.1599 0.6599 0.5000  6 Tl 2.90-2.96, 2 Pd 3.18
Pd: 0.3401 0.1599 0.5000  6 Tl 2.90-2.96, 2 Pd 3.18
Pd: 0.6599 0.8401 0.5000  6 Tl 2.90-2.96, 2 Pd 3.18
Pd: 0.8401 0.3401 0.5000  6 Tl 2.90-2.96, 2 Pd 3.18


2.
Below is an optimized crystal structure of Pm6Co2Ir, with properties calculated at the PBE level.

Energy   -107.1 eV for the cell shown
Space group   Imm2 (44)
ΔH_f (0 K)   -0.2198 eV per atom

a b c (Å): 8.3766 8.3766 8.3766
angles (deg): 110.09 108.49 109.84
Last column: nearest neighbours and their distance in Å.
Fractional coordinates of all 18 atoms:
Pm: 0.1725 0.0000 0.1725  3 Co 2.75-2.94
Pm: 0.1948 0.3674 0.8274  3 Co 2.75-2.94
Pm: 0.4388 0.5010 0.5722  1 Co 2.87, 2 Ir 2.97-3.05
Pm: 0.4388 0.8666 0.9377  1 Co 2.87, 2 Ir 2.97-3.05
Pm: 0.4494 0.1253 0.6759  3 Co 2.95-3.03, 1 Ir 3.06
Pm: 0.4494 0.7734 0.3241  3 Co 2.95-3.03, 1 Ir 3.06
Pm: 0.5400 0.3674 0.1726  3 Co 2.75-2.94
Pm: 0.8275 0.0000 0.8275  3 Co 2.75-2.94
Pm: 0.9180 0.2417 0.3237  3 Co 2.96-3.02, 1 Ir 3.07
Pm: 0.9180 0.5943 0.6763  3 Co 2.96-3.02, 1 Ir 3.07
Pm: 0.9288 0.5010 0.0623  1 Co 2.87, 2 Ir 2.97-3.05
Pm: 0.9288 0.8666 0.4278  1 Co 2.87, 2 Ir 2.97-3.05
Co: 0.1840 0.0142 0.8302  8 Pm 2.87-2.96, 1 Ir 3.17
Co: 0.1840 0.3537 0.1698  8 Pm 2.87-2.96, 1 Ir 3.17
Co: 0.5717 0.1840 0.3877  1 Co 2.20
Co: 0.7963 0.1840 0.6123  1 Co 2.20
Ir: 0.1838 0.6838 0.5000  8 Pm 3.05-3.07, 2 Co 3.17
Ir: 0.6870 0.6870 0.0000  4 Pm 2.97


3.
Below is an optimized crystal structure of TiS2I, with properties calculated at the PBE level.

Energy   -15.9 eV for the cell shown
Space group   R-3m (166)
Raw formation energy   0.453 eV per atom
Relative energy among the computed polymorphs   5.34 eV/f.u.

a b c (Å): 9.3190 9.3190 9.3190
angles (deg): 21.86 21.86 21.86
Last column: nearest neighbours and their distance in Å.
Fractional coordinates of all 4 atoms:
Ti: 0.0000 0.0000 0.0000  2 S 2.20
S: 0.0807 0.0807 0.0807  1 Ti 2.20
S: 0.9193 0.9193 0.9193  1 Ti 2.20
I: 0.5000 0.5000 0.5000  6 S 3.11